## Ce9Tm4Tl11 (PBE)

Data for a relaxed structure of Ce9Tm4Tl11.

a = 3.403 Å, b = 14.313 Å, c = 14.313 Å
α = 100.80°, β = 90.00°, γ = 90.00°
Last column: magnetic moment on the atom in μB.
Atoms (fractional coordinates):
Ce (0.500, 0.633, 0.141)  1.02
Ce (0.500, 0.367, 0.859)  1.02
Ce (0.500, 0.141, 0.633)  1.02
Ce (0.500, 0.859, 0.367)  1.02
Ce (0.500, 0.789, 0.956)  1.00
Ce (0.500, 0.211, 0.044)  1.00
Ce (0.500, 0.956, 0.789)  1.00
Ce (0.500, 0.044, 0.211)  1.00
Ce (0.500, 0.500, 0.500)  1.24
Tm (0.500, 0.555, 0.733)  0.22
Tm (0.500, 0.445, 0.267)  0.22
Tm (0.500, 0.733, 0.555)  0.22
Tm (0.500, 0.267, 0.445)  0.22
Tl (0.000, 0.577, 0.929)  0.00
Tl (0.000, 0.423, 0.071)  0.00
Tl (0.000, 0.929, 0.577)  0.00
Tl (0.000, 0.071, 0.423)  0.00
Tl (0.000, 0.638, 0.362)  -0.01
Tl (0.000, 0.362, 0.638)  -0.01
Tl (0.000, 0.839, 0.161)  0.00
Tl (0.000, 0.161, 0.839)  0.00
Tl (0.000, 0.000, 0.000)  0.00
Tl (0.000, 0.749, 0.749)  0.00
Tl (0.000, 0.251, 0.251)  0.00

Calculated values
raw total energy: -4.24 eV/atom
symmetry: Cmmm (65)
energy relative to the elements: -189 meV/atom
theoretical density: 10.150 g/cm3